{
  "formula": "ScOsPb2",
  "functional": "PBE",
  "state": "optimized geometry",
  "lattice": [[-4.056, 4.056, 2.937], [4.056, -4.056, 2.937], [4.056, 4.056, -2.937]],
  "species": ["Sc", "Sc", "Os", "Os", "Pb", "Pb", "Pb", "Pb"],
  "frac_coords": [[0.000, 0.000, 0.000], [0.750, 0.250, 0.500], [0.250, 0.750, 0.500], [0.500, 0.500, 0.000], [0.168, 0.125, 0.543], [0.375, 0.832, 0.957], [0.582, 0.625, 0.457], [0.875, 0.418, 0.043]],
  "formation_energy_ev_per_fu": 1.914,
  "crystal_system": "tetragonal",
  "de_polymorph_mev_per_atom": 444
}

{
  "formula": "ScOsPb2",
  "functional": "PBE",
  "state": "optimized geometry",
  "lattice": [[3.064, -4.684, 0.000], [3.064, 4.684, 0.000], [-1.322, 0.000, 3.071]],
  "species": ["Sc", "Os", "Pb", "Pb"],
  "frac_coords": [[0.000, 0.000, 0.000], [0.500, 0.500, 0.000], [0.000, 0.500, 0.500], [0.500, 0.000, 0.500]],
  "formation_energy_ev_per_fu": 1.991,
  "crystal_system": "monoclinic",
  "de_polymorph_mev_per_atom": 463
}